PBE-GGA PmErMgPa, optimized geometry; ΔE_f = 0.34 eV per atom; SG = F-43m, No. 216; E = -4.759 eV/atom
1.0
5.406 0.000 0.000
2.703 4.682 0.000
2.703 1.561 4.414
Pa Mg Er Pm
1 1 1 1
Cartesian
2.703 1.561 1.103
8.109 4.682 3.310
0.000 0.000 0.000
5.406 3.121 2.207